Entry from the Alexandria database: a geometry-optimized Tb4Pr3Mg structure (PBE).

Unit cell a=6.321 b=7.230 c=11.453 alpha=90.00 beta=90.00 gamma=90.00
Atoms (fractional coordinates):
Mg  0.359  0.875  0.500
Mg  0.859  0.125  0.000
Tb  0.018  0.374  0.245
Tb  0.018  0.374  0.755
Tb  0.366  0.871  0.000
Tb  0.858  0.626  0.500
Tb  0.518  0.626  0.745
Tb  0.866  0.129  0.500
Tb  0.518  0.626  0.255
Tb  0.358  0.374  0.000
Pr  0.340  0.381  0.500
Pr  0.840  0.619  0.000
Pr  0.528  0.121  0.746
Pr  0.528  0.121  0.254
Pr  0.028  0.879  0.754
Pr  0.028  0.879  0.246

Properties
Raw total energy, eV per atom: -4.294
Relative energy among the computed polymorphs, meV per atom: 0
Fermi-level density of states, states/eV per atom: 1.516

---

Entry from the Alexandria database: a geometry-optimized TbPr7Mg2 structure (PBE).

Unit cell a=5.399 b=9.528 c=9.528 alpha=123.78 beta=90.00 gamma=90.00
Atoms (fractional coordinates):
Pr  0.500  0.299  0.070
Pr  0.500  0.070  0.299
Pr  0.000  0.787  0.213
Pr  0.500  0.930  0.701
Pr  0.500  0.500  0.500
Pr  0.500  0.701  0.930
Pr  0.000  0.213  0.787
Tb  0.000  0.000  0.000
Mg  0.500  0.299  0.701
Mg  0.500  0.701  0.299

Properties
Raw total energy, eV per atom: -3.624
Fermi-level density of states, states/eV per atom: 1.488

---

Entry from the Alexandria database: a geometry-optimized Tb2Pr5Mg structure (PBE).

Unit cell a=7.266 b=7.266 c=7.203 alpha=120.27 beta=120.27 gamma=90.02
Atoms (fractional coordinates):
Pr  0.722  0.722  0.944
Pr  0.222  0.722  0.944
Pr  0.722  0.222  0.944
Pr  0.222  0.222  0.944
Pr  0.722  0.722  0.444
Mg  0.222  0.222  0.444
Tb  0.722  0.222  0.444
Tb  0.222  0.722  0.444

Properties
Raw total energy, eV per atom: -4.341
Fermi-level density of states, states/eV per atom: 0.927

---

Entry from the Alexandria database: a geometry-optimized Tb5PrMg4 structure (PBE).

Unit cell a=3.758 b=3.758 c=20.408 alpha=90.00 beta=90.00 gamma=90.00
Atoms (fractional coordinates):
Tb  0.500  0.500  0.122
Tb  0.500  0.500  0.312
Tb  0.500  0.500  0.500
Tb  0.500  0.500  0.688
Tb  0.500  0.500  0.878
Pr  0.000  0.000  0.000
Mg  0.000  0.000  0.595
Mg  0.000  0.000  0.405
Mg  0.000  0.000  0.782
Mg  0.000  0.000  0.218

Properties
Raw total energy, eV per atom: -3.492
Fermi-level density of states, states/eV per atom: 1.343

---

These records have energy of formation values of 0.01; 0.50; 0.00; -0.06 eV/atom, in the order they appear.